Here is an optimized crystal structure of ReSbP2 from Alexandria via LeMat-Bulk. Energies are from GGA-PBE.

```
data_ReSbP2
_chemical_formula_sum 'Re1 Sb1 P2'
_space_group_name_H-M_alt 'P 4/m m m'
_space_group_IT_number 123
_space_group_name_Hall '-P 4 2'
_cell_length_a 4.0066
_cell_length_b 4.0066
_cell_length_c 4.2193
_cell_angle_alpha 90.00
_cell_angle_beta 90.00
_cell_angle_gamma 90.00
loop_
_atom_site_label
_atom_site_type_symbol
_atom_site_fract_x
_atom_site_fract_y
_atom_site_fract_z
Re1 Re 0.0000 0.0000 0.0000
Sb1 Sb 0.5000 0.5000 0.0000
P1 P 0.0000 0.5000 0.5000
```

Calculated values
* total magnetization: 0.00 μB per formula unit
* E_form (uncorrected): 1013.7 meV per atom
* N(E_F): 0.5299 states/eV/atom